Record 1
Computed, not measured: Ba2CaTl2 after structural relaxation at the PBE-GGA level of DFT.

Output
For the total moment, the calculation gives 0.00 μB/atom. The formation energy comes out at -308 meV per atom. The value obtained for the offset from the most stable computed form is 0.0121 eV per atom. Its space group is P4/mbm, No. 127. The calculation puts the uncorrected energy at -2.424 eV per atom. As for the calculated density: 5.80 g/cm3.

a = 9.6069 Å, b = 9.6069 Å, c = 4.4901 Å
α = 90.00°, β = 90.00°, γ = 90.00°
Last column: nearest neighbours and their distance in Å.
Sites, in units of the cell vectors:
Ba1 0.1618 0.3382 0.0000  6 Tl 3.55-3.64
Ba2 0.3382 0.8382 0.0000  6 Tl 3.55-3.64
Ba3 0.6618 0.1618 0.0000  6 Tl 3.55-3.64
Ba4 0.8382 0.6618 0.0000  6 Tl 3.55-3.64
Ca1 0.0000 0.0000 0.5000  4 Tl 3.73
Ca2 0.5000 0.5000 0.5000  4 Tl 3.73
Tl1 0.1357 0.6357 0.5000  6 Ba 3.55-3.64, 1 Tl 3.69, 2 Ca 3.73
Tl2 0.3643 0.1357 0.5000  6 Ba 3.55-3.64, 1 Tl 3.69, 2 Ca 3.73
Tl3 0.6357 0.8643 0.5000  6 Ba 3.55-3.64, 1 Tl 3.69, 2 Ca 3.73
Tl4 0.8643 0.3643 0.5000  6 Ba 3.55-3.64, 1 Tl 3.69, 2 Ca 3.73

Record 2
Computed, not measured: LaTb4Tl7 after structural relaxation at the PBE-GGA level of DFT.

Output
For the total moment, the calculation gives 0.00 μB/atom. The formation energy comes out at -129 meV per atom. Its space group is C2/m, No. 12. The calculation puts the uncorrected energy at -3.463 eV per atom. As for the calculated density: 9.80 g/cm3.

a = 7.2918 Å, b = 7.2918 Å, c = 11.6176 Å
α = 121.08°, β = 121.08°, γ = 47.03°
Last column: nearest neighbours and their distance in Å.
Sites, in units of the cell vectors:
La1 0.0000 0.0000 0.0000  2 Tl 2.91
Tb1 0.2782 0.2782 0.6694  8 Tl 3.16-3.48
Tb2 0.4132 0.4132 0.2175  8 Tl 3.14-3.43
Tb3 0.5868 0.5868 0.7825  8 Tl 3.14-3.43
Tb4 0.7218 0.7218 0.3306  8 Tl 3.16-3.48
Tl1 0.0783 0.0783 0.3293  4 Tl 3.24-3.63, 5 Tb 3.30-3.48, 1 La 3.35
Tl2 0.2157 0.2157 0.8946  4 Tb 3.14-3.26, 2 Tl 3.27
Tl3 0.3649 0.3649 0.4550  2 Tl 3.15-3.24, 5 Tb 3.17-3.33
Tl4 0.5000 0.5000 0.0000  2 La 2.91
Tl5 0.6351 0.6351 0.5450  2 Tl 3.15-3.24, 5 Tb 3.17-3.33
Tl6 0.7843 0.7843 0.1054  4 Tb 3.14-3.26, 2 Tl 3.27
Tl7 0.9217 0.9217 0.6707  4 Tl 3.24-3.63, 5 Tb 3.30-3.48, 1 La 3.35

Record 3
Computed, not measured: Ba2LaCd after structural relaxation at the PBE-GGA level of DFT.

Output
For the total moment, the calculation gives 0.00 μB/atom. The formation energy comes out at 42 meV per atom. The value obtained for the offset from the most stable computed form is 0.1453 eV per atom. Its space group is Cmmm, No. 65. The calculation puts the uncorrected energy at -2.380 eV per atom. As for the calculated density: 5.23 g/cm3.

a = 6.5045 Å, b = 6.5045 Å, c = 4.0843 Å
α = 90.00°, β = 90.00°, γ = 104.93°
Last column: nearest neighbours and their distance in Å.
Sites, in units of the cell vectors:
Ba1 0.0000 0.5000 0.0000  4 Cd 3.84, 4 La 3.84, 4 Ba 3.96-4.08
Ba2 0.5000 0.0000 0.0000  4 Cd 3.84, 4 La 3.84, 4 Ba 3.96-4.08
La1 0.0000 0.0000 0.5000  8 Ba 3.84, 2 Cd 3.96, 2 La 4.08
Cd1 0.5000 0.5000 0.5000  8 Ba 3.84, 2 La 3.96, 2 Cd 4.08